Computed, not measured: an optimized crystal structure of Ca4Cd3CoO8 at the PBE+U level of DFT.

a = 11.4455 Å, b = 6.7776 Å, c = 6.6392 Å
α = 90.00°, β = 123.83°, γ = 90.00°
Closest atoms and distances in Å follow each position.
Space group C2/m (No. 12)
Unique sites:
Ca 0.0000 0.0000 0.0000 [2 per cell]  6 O 2.44-2.45
Ca 0.0000 0.5000 0.0000 [2 per cell]  6 O 2.36
Ca 0.2500 0.2500 0.5000 [4 per cell]  6 O 2.36
Cd 0.0000 0.0000 0.5000 [2 per cell]  6 O 2.39
Cd 0.2500 0.2500 0.0000 [4 per cell]  6 O 2.38-2.40
Co 0.0000 0.5000 0.5000 [2 per cell]  6 O 2.30-2.32
O 0.0018 0.2591 0.2581 [8 per cell]  1 Co 2.30, 3 Ca 2.36-2.45, 2 Cd 2.39-2.40
O 0.2438 0.5000 0.7405 [4 per cell]  1 Co 2.32, 3 Ca 2.36-2.44, 2 Cd 2.39
O 0.2484 0.5000 0.2504 [4 per cell]  3 Ca 2.36, 3 Cd 2.38-2.39

=====

Computed, not measured: an optimized crystal structure of CaCd2CoO at the PBE+U level of DFT.

a = 5.6297 Å, b = 5.6297 Å, c = 3.5961 Å
α = 90.00°, β = 90.00°, γ = 90.00°
Closest atoms and distances in Å follow each position.
Space group P4/mmm (No. 123)
Unique sites:
Ca 0.0000 0.0000 0.0000 [1 per cell]  8 Cd 3.34, 2 Ca 3.60
Cd 0.0000 0.5000 0.5000 [2 per cell]  2 Co 2.81
Co 0.5000 0.5000 0.5000 [1 per cell]  2 O 1.80
O 0.5000 0.5000 0.0000 [1 per cell]  2 Co 1.80

=====

Computed, not measured: an optimized crystal structure of Ca2CdCoO4 at the PBE+U level of DFT.

a = 5.6272 Å, b = 3.3583 Å, c = 5.7906 Å
α = 90.00°, β = 109.83°, γ = 90.00°
Closest atoms and distances in Å follow each position.
Space group P2/m (No. 10)
Unique sites:
Ca 0.0000 0.0000 0.0000 [1 per cell]  6 O 2.32-2.33
Ca 0.0000 0.5000 0.5000 [1 per cell]  6 O 2.41-2.43
Cd 0.5000 0.0000 0.5000 [1 per cell]  6 O 2.35-2.36
Co 0.5000 0.5000 0.0000 [1 per cell]  6 O 2.24-2.29
O 0.2569 0.5000 0.2373 [2 per cell]  1 Co 2.24, 3 Ca 2.33-2.43, 2 Cd 2.36
O 0.2613 0.0000 0.7637 [2 per cell]  2 Co 2.29, 3 Ca 2.32-2.41, 1 Cd 2.35

=====

Computed, not measured: an optimized crystal structure of CaCd2Co3O8 at the PBE+U level of DFT.

a = 5.9908 Å, b = 5.9908 Å, c = 15.9851 Å
α = 90.00°, β = 90.00°, γ = 120.00°
Closest atoms and distances in Å follow each position.
Space group R3m (No. 160, hexagonal axes)
Unique sites:
Ca 0.0000 0.0000 0.0000 [3 per cell]  4 O 2.17-2.32
Cd 0.0000 0.0000 0.2513 [3 per cell]  4 O 2.18-2.27
Cd 0.0000 0.0000 0.6253 [3 per cell]  6 O 2.27
Co 0.1684 0.3368 0.4583 [9 per cell]  6 O 1.90-2.03
O 0.0000 0.0000 0.3933 [3 per cell]  3 Co 2.03, 1 Cd 2.27
O 0.0000 0.0000 0.8549 [3 per cell]  3 Co 1.99
O 0.0373 0.5186 0.3967 [9 per cell]  2 Co 1.90
O 0.1853 0.3705 0.1876 [9 per cell]  2 Co 1.93

=====

Energy values (in eV/atom) by entry order: -5.44; -3.00; -5.68; -5.36.
Spin magnetization values (in μB per cell) by entry order: 6.14; 2.39; 3.05; 3.04.